Entry 1:
# Ca3Pm | Alexandria via LeMat-Bulk | PBE-GGA | relaxed
data_Ca3Pm
_cell_length_a 5.416
_cell_length_b 5.416
_cell_length_c 5.416
_cell_angle_alpha 90.00
_cell_angle_beta 90.00
_cell_angle_gamma 90.00
_space_group_name_H-M_alt 'P m -3 m'
_space_group_IT_number 221
_space_group_name_Hall '-P 4 2 3'
loop_
_atom_site_label
_atom_site_fract_x
_atom_site_fract_y
_atom_site_fract_z
Ca1 0.000 0.000 0.500
Pm1 0.500 0.500 0.500
# Density of states at the Fermi level, states/eV/atom: 1.7867
# Crystal system: cubic
# Total magnetization, μB/atom: 0.18
# Energy relative to the lowest polymorph listed for this composition, meV per atom: 103
# ΔE_f, eV/atom: 0.1215
# Electronic total energy, eV/atom: -2.567

Entry 2:
# CaSmGePd | Alexandria via LeMat-Bulk | PBE-GGA | relaxed
data_CaSmGePd
_cell_length_a 7.182
_cell_length_b 7.182
_cell_length_c 7.182
_cell_angle_alpha 90.00
_cell_angle_beta 90.00
_cell_angle_gamma 90.00
_space_group_name_H-M_alt 'F -4 3 m'
_space_group_IT_number 216
_space_group_name_Hall 'F -4 2 3'
loop_
_atom_site_label
_atom_site_fract_x
_atom_site_fract_y
_atom_site_fract_z
Ca1 0.000 0.000 0.000
Sm1 0.000 0.000 0.500
Ge1 0.250 0.250 0.750
Pd1 0.250 0.250 0.250
# Density of states at the Fermi level, states/eV/atom: 0.5847
# Crystal system: cubic
# Total magnetization, μB/atom: 0.00
# ΔE_f, eV/atom: -0.7073
# Electronic total energy, eV/atom: -4.840

Entry 3:
# ScGa4Hg | Alexandria via LeMat-Bulk | PBE-GGA | relaxed
data_ScGa4Hg
_cell_length_a 7.764
_cell_length_b 7.764
_cell_length_c 7.764
_cell_angle_alpha 90.00
_cell_angle_beta 90.00
_cell_angle_gamma 90.00
_space_group_name_H-M_alt 'F -4 3 m'
_space_group_IT_number 216
_space_group_name_Hall 'F -4 2 3'
loop_
_atom_site_label
_atom_site_fract_x
_atom_site_fract_y
_atom_site_fract_z
Sc1 0.000 0.000 0.000
Ga1 0.125 0.125 0.625
Hg1 0.250 0.250 0.250
# Density of states at the Fermi level, states/eV/atom: 0.7335
# Crystal system: cubic
# Total magnetization, μB/atom: 0.00
# ΔE_f, eV/atom: -0.1155
# Electronic total energy, eV/atom: -3.239

Entry 4:
# Nd3Tm2In7 | Alexandria via LeMat-Bulk | PBE-GGA | relaxed
data_Nd3Tm2In7
_cell_length_a 4.854
_cell_length_b 29.590
_cell_length_c 4.905
_cell_angle_alpha 90.00
_cell_angle_beta 90.00
_cell_angle_gamma 90.00
_space_group_name_H-M_alt 'C m m m'
_space_group_IT_number 65
_space_group_name_Hall '-C 2 2'
loop_
_atom_site_label
_atom_site_fract_x
_atom_site_fract_y
_atom_site_fract_z
Nd1 0.000 0.000 0.000
Nd2 0.000 0.152 0.000
Tm1 0.000 0.344 0.500
In1 0.000 0.079 0.500
In2 0.000 0.227 0.500
In3 0.000 0.420 0.000
In4 0.000 0.500 0.500
# Density of states at the Fermi level, states/eV/atom: 0.9080
# Crystal system: orthorhombic
# Total magnetization, μB/atom: 0.04
# ΔE_f, eV/atom: -0.2422
# Electronic total energy, eV/atom: -3.777

Entry 5:
# LiP2 | Alexandria via LeMat-Bulk | PBE-GGA | relaxed
data_LiP2
_cell_length_a 3.357
_cell_length_b 3.357
_cell_length_c 34.364
_cell_angle_alpha 90.00
_cell_angle_beta 90.00
_cell_angle_gamma 90.00
_space_group_name_H-M_alt 'I 41/a m d'
_space_group_IT_number 141
loop_
_space_group_symop_operation_xyz
'x,y,z'
'-x,-y,-z'
'-y+1/4,x+3/4,z+1/4'
'y+1/4,-x+3/4,-z+1/4'
'-x+1/2,-y,z+1/2'
'x+1/2,y,-z+1/2'
'y+1/4,-x+1/4,z+3/4'
'-y+1/4,x+1/4,-z+3/4'
'x,-y,-z'
'-x,y,z'
'-y+1/4,-x+1/4,-z+3/4'
'y+1/4,x+1/4,z+3/4'
'-x+1/2,y,-z+1/2'
'x+1/2,-y,z+1/2'
'y+1/4,x+3/4,-z+1/4'
'-y+1/4,-x+3/4,z+1/4'
'x+1/2,y+1/2,z+1/2'
'-x+1/2,-y+1/2,-z+1/2'
'-y+3/4,x+1/4,z+3/4'
'y+3/4,-x+1/4,-z+3/4'
'-x,-y+1/2,z'
'x,y+1/2,-z'
'y+3/4,-x+3/4,z+1/4'
'-y+3/4,x+3/4,-z+1/4'
'x+1/2,-y+1/2,-z+1/2'
'-x+1/2,y+1/2,z+1/2'
'-y+3/4,-x+3/4,-z+1/4'
'y+3/4,x+3/4,z+1/4'
'-x,y+1/2,-z'
'x,-y+1/2,z'
'y+3/4,x+1/4,-z+3/4'
'-y+3/4,-x+1/4,z+3/4'
loop_
_atom_site_label
_atom_site_fract_x
_atom_site_fract_y
_atom_site_fract_z
Li1 0.000 0.250 0.314
P1 0.000 0.250 0.124
P2 0.000 0.250 0.771
# Density of states at the Fermi level, states/eV/atom: 0.1629
# Crystal system: tetragonal
# Total magnetization, μB/atom: 0.00
# Energy relative to the lowest polymorph listed for this composition, meV per atom: 127
# ΔE_f, eV/atom: -0.2111
# Electronic total energy, eV/atom: -4.456

Entry 6:
# Li2AcPmAu2 | Alexandria via LeMat-Bulk | PBE-GGA | relaxed
data_Li2AcPmAu2
_cell_length_a 4.6996
_cell_length_b 4.6996
_cell_length_c 7.4961
_cell_angle_alpha 90.00
_cell_angle_beta 90.00
_cell_angle_gamma 120.00
_space_group_name_H-M_alt 'P -3 m 1'
_space_group_IT_number 164
_space_group_name_Hall '-P 3 2"'
loop_
_atom_site_label
_atom_site_fract_x
_atom_site_fract_y
_atom_site_fract_z
Li1 0.3333 0.6667 0.2120
Ac1 0.0000 0.0000 0.5000
Pm1 0.0000 0.0000 0.0000
Au1 0.3333 0.6667 0.7748
# Density of states at the Fermi level, states/eV/atom: 0.9944
# Crystal system: trigonal
# Total magnetization, μB/atom: 0.00
# ΔE_f, eV/atom: -0.5420
# Electronic total energy, eV/atom: -3.749

Entry 7:
# Sr2Fe2Ag | Alexandria via LeMat-Bulk | PBE-GGA | relaxed
data_Sr2Fe2Ag
_cell_length_a 7.308
_cell_length_b 7.308
_cell_length_c 4.674
_cell_angle_alpha 90.00
_cell_angle_beta 90.00
_cell_angle_gamma 90.00
_space_group_name_H-M_alt 'P 4/m b m'
_space_group_IT_number 127
_space_group_name_Hall '-P 4 2ab'
loop_
_atom_site_label
_atom_site_fract_x
_atom_site_fract_y
_atom_site_fract_z
Sr1 0.184 0.316 0.000
Fe1 0.105 0.605 0.500
Ag1 0.000 0.000 0.500
# Density of states at the Fermi level, states/eV/atom: 0.8021
# Crystal system: tetragonal
# Total magnetization, μB/atom: 0.95
# Energy relative to the lowest polymorph listed for this composition, meV per atom: 0
# ΔE_f, eV/atom: 0.4089
# Electronic total energy, eV/atom: -4.219

Entry 8:
# CsCeMgF6 | Alexandria via LeMat-Bulk | PBE-GGA | relaxed
data_CsCeMgF6
_cell_length_a 7.647
_cell_length_b 8.211
_cell_length_c 10.518
_cell_angle_alpha 90.00
_cell_angle_beta 90.00
_cell_angle_gamma 90.00
_space_group_name_H-M_alt 'I m m a'
_space_group_IT_number 74
_space_group_name_Hall '-I 2b 2'
loop_
_atom_site_label
_atom_site_fract_x
_atom_site_fract_y
_atom_site_fract_z
Cs1 0.000 0.250 0.086
Ce1 0.000 0.000 0.500
Mg1 0.250 0.250 0.750
F1 0.000 0.250 0.392
F2 0.000 0.250 0.715
F3 0.249 0.074 0.886
# Density of states at the Fermi level, states/eV/atom: 0.2132
# Crystal system: orthorhombic
# Total magnetization, μB/atom: 0.11
# Energy relative to the elements, uncorrected, eV/atom: -3.56
# Electronic total energy, eV/atom: -5.740

- Look up the density of states at the Fermi level of the third one.
  0.7335 states/eV/atom

- Number 7 is which compound?
  Sr2Fe2Ag